{"formula": "CrAgF2", "functional": "GGA+U", "state": "optimized geometry", "lattice": [[1.628, 0.940, 7.282], [-1.628, 0.940, 7.282], [0.000, -1.880, 7.282]], "species": ["Cr", "Ag", "F", "F"], "fractional_positions": [[0.000, 0.000, 0.000], [0.500, 0.500, 0.500], [0.089, 0.089, 0.089], [0.911, 0.911, 0.911]], "polymorph_energy_ev_per_fu": 1.11, "e_tot_ev_per_fu": -18.8, "magnetic_moment_mub_per_cell": 4.21}